Arrangement 1

VASP calculation (PBE-GGA) on an optimized crystal structure of YTlH.

Cell: 12.2379 3.6994 6.3868 Å, 90.00 120.50 90.00°
Space group C2/m (No. 12)
Inequivalent atoms, fractional coordinates:
Y (0.2158, 0.0000, 0.2411)
Tl (0.0206, 0.5000, 0.7633)
H (0.2147, 0.0000, 0.5749)

As for the crystal system: monoclinic. The value obtained for the volume is 20.76 A^3/atom.

Arrangement 2

VASP calculation (PBE-GGA) on an optimized crystal structure of YTlH.

Cell: 3.6368 3.6368 5.3362 Å, 90.00 90.00 120.00°
Space group P-6m2 (No. 187)
Inequivalent atoms, fractional coordinates:
Y (0.0000, 0.0000, 0.0000)
Tl (0.6667, 0.3333, 0.5000)
H (0.3333, 0.6667, 0.0000)

As for the crystal system: hexagonal. The value obtained for the volume is 20.37 A^3/atom.

Quick look at relative energies in eV/atom: arrangement 1 0.053; arrangement 2 0.000.

Arrangement 1

VASP calculation (PBE-GGA) on an optimized crystal structure of YTlH.

Cell: 5.0104 5.3826 8.8192 Å, 90.00 90.14 90.00°
Space group C2/m (No. 12)
Inequivalent atoms, fractional coordinates:
Y (0.2492, 0.0000, 0.3537)
Tl (0.2493, 0.5000, 0.1182)
H (0.0000, 0.2500, 0.5000)

As for the crystal system: monoclinic. The value obtained for the volume is 19.82 A^3/atom.

Arrangement 2

VASP calculation (PBE-GGA) on an optimized crystal structure of YTlH.

Cell: 3.2413 3.2413 11.8016 Å, 90.00 90.00 90.00°
Space group I4mm (No. 107)
Inequivalent atoms, fractional coordinates:
Y (0.0000, 0.0000, 0.0000)
Tl (0.0000, 0.0000, 0.2708)
H (0.0000, 0.0000, 0.5331)

As for the crystal system: tetragonal. The value obtained for the volume is 20.67 A^3/atom.

Quick look at relative energies in eV/atom: arrangement 1 0.000; arrangement 2 0.238.

Arrangement 1

VASP calculation (PBE-GGA) on an optimized crystal structure of Y3TlH.

Cell: 6.6437 3.6103 10.3294 Å, 90.00 99.23 90.00°
Space group P2_1/m (No. 11)
Inequivalent atoms, fractional coordinates:
Y (0.0825, 0.2500, 0.3626)
Y (0.2272, 0.2500, 0.9074)
Y (0.4006, 0.7500, 0.6344)
Tl (0.2913, 0.7500, 0.1612)
H (0.1730, 0.2500, 0.6791)

As for the crystal system: monoclinic. The value obtained for the volume is 24.46 A^3/atom.

Arrangement 2

VASP calculation (PBE-GGA) on an optimized crystal structure of Y3TlH.

Cell: 4.8637 4.8637 4.8637 Å, 90.00 90.00 90.00°
Space group Pm-3m (No. 221)
Inequivalent atoms, fractional coordinates:
Y (0.0000, 0.0000, 0.5000)
Tl (0.5000, 0.5000, 0.5000)
H (0.0000, 0.0000, 0.0000)

As for the crystal system: cubic. The value obtained for the volume is 23.01 A^3/atom.

Quick look at relative energies in eV/atom: arrangement 1 0.021; arrangement 2 0.000.

Arrangement 1

VASP calculation (PBE-GGA) on an optimized crystal structure of TlZnH2.

Cell: 6.0863 6.0863 6.0863 Å, 90.00 90.00 90.00°
Space group Fm-3m (No. 225)
Inequivalent atoms, fractional coordinates:
Tl (0.0000, 0.0000, 0.0000)
Zn (0.0000, 0.0000, 0.5000)
H (0.2500, 0.2500, 0.2500)

As for the crystal system: cubic. The value obtained for the volume is 14.09 A^3/atom.

Arrangement 2

VASP calculation (PBE-GGA) on an optimized crystal structure of TlZnH2.

Cell: 4.9935 4.9935 9.7726 Å, 90.00 90.00 90.00°
Space group I-42d (No. 122)
Inequivalent atoms, fractional coordinates:
Tl (0.0000, 0.0000, 0.0000)
Zn (0.0000, 0.0000, 0.5000)
H (0.0050, 0.7500, 0.6250)

As for the crystal system: tetragonal. The value obtained for the volume is 15.23 A^3/atom.

Quick look at relative energies in eV/atom: arrangement 1 0.443; arrangement 2 0.000.

Arrangement 1

VASP calculation (PBE-GGA) on an optimized crystal structure of Zr6Tl3H.

Cell: 12.2375 14.7396 4.6112 Å, 90.00 90.00 90.00°
Space group Cmcm (No. 63)
Inequivalent atoms, fractional coordinates:
Zr (0.0000, 0.0773, 0.2500)
Zr (0.0000, 0.2516, 0.7500)
Zr (0.1668, 0.4202, 0.7500)
Zr (0.1686, 0.2502, 0.2500)
Tl (0.0000, 0.4090, 0.2500)
Tl (0.1658, 0.0932, 0.7500)
H (0.0000, 0.2163, 0.2500)

As for the crystal system: orthorhombic. The value obtained for the volume is 20.79 A^3/atom.

Arrangement 2

VASP calculation (PBE-GGA) on an optimized crystal structure of Zr6Tl3H.

Cell: 10.5005 5.7594 7.2786 Å, 90.00 99.06 90.00°
Space group C2/m (No. 12)
Inequivalent atoms, fractional coordinates:
Zr (0.1036, 0.2459, 0.3566)
Zr (0.1398, 0.0000, 0.9107)
Tl (0.0000, 0.5000, 0.0000)
Tl (0.1670, 0.5000, 0.7245)
H (0.0000, 0.0000, 0.5000)

As for the crystal system: monoclinic. The value obtained for the volume is 21.73 A^3/atom.

Quick look at relative energies in eV/atom: arrangement 1 0.000; arrangement 2 0.199.

Arrangement 1

VASP calculation (PBE-GGA) on an optimized crystal structure of ZrTlH2.

Cell: 4.4064 4.4064 12.1756 Å, 90.00 90.00 90.00°
Space group I-42d (No. 122)
Inequivalent atoms, fractional coordinates:
Zr (0.0000, 0.0000, 0.0000)
Tl (0.0000, 0.0000, 0.5000)
H (0.0688, 0.2500, 0.1250)

As for the crystal system: tetragonal. The value obtained for the volume is 14.78 A^3/atom.

Arrangement 2

VASP calculation (PBE-GGA) on an optimized crystal structure of ZrTlH2.

Cell: 3.4044 3.4044 17.1570 Å, 90.00 90.00 120.00°
Space group R3m (No. 160, hexagonal axes)
Inequivalent atoms, fractional coordinates:
Zr (0.0000, 0.0000, 0.0000)
Tl (0.0000, 0.0000, 0.8211)
H (0.0000, 0.0000, 0.3496)
H (0.0000, 0.0000, 0.6275)

As for the crystal system: trigonal. The value obtained for the volume is 14.35 A^3/atom.

Arrangement 3

VASP calculation (PBE-GGA) on an optimized crystal structure of ZrTlH2.

Cell: 5.9504 5.9504 5.9504 Å, 90.00 90.00 90.00°
Space group Fm-3m (No. 225)
Inequivalent atoms, fractional coordinates:
Zr (0.0000, 0.0000, 0.0000)
Tl (0.0000, 0.0000, 0.5000)
H (0.2500, 0.2500, 0.2500)

As for the crystal system: cubic. The value obtained for the volume is 13.17 A^3/atom.

Quick look at relative energies in eV/atom: arrangement 1 0.244; arrangement 2 0.000; arrangement 3 0.716.